Rb2ZrAsS4 | PBE | relaxed

Lattice parameters (Å, degrees): 5.5914 7.9608 13.1255 85.71 77.70 69.44
With the nearest neighbours (Å) after each atom.
Fractional positions:
S: 0.9309 0.7932 0.8861  1 Zr 2.48, 1 As 2.61
S: 0.1830 0.2068 0.8861  1 Zr 2.48, 1 As 2.61
S: 0.2759 0.7932 0.1139  1 Zr 2.48, 1 As 2.61
S: 0.6102 0.2068 0.1139  1 Zr 2.48, 1 As 2.61
S: 0.4741 0.7068 0.3861  1 Zr 2.48, 1 As 2.61
S: 0.8191 0.7068 0.6139  1 Zr 2.48, 1 As 2.61
S: 0.1398 0.2932 0.3861  1 Zr 2.48, 1 As 2.61
S: 0.5670 0.2932 0.6139  1 Zr 2.48, 1 As 2.61
Rb: 0.1740 0.0000 0.6520  6 S 3.49-3.67
Rb: 0.9240 0.5000 0.1520  6 S 3.49-3.67
Rb: 0.8260 0.0000 0.3480  6 S 3.49-3.67
Rb: 0.5760 0.5000 0.8480  6 S 3.49-3.67
Zr: 0.7500 0.5000 0.5000  4 S 2.48
Zr: 0.0000 0.0000 0.0000  4 S 2.48
As: 0.5000 0.0000 0.0000  4 S 2.61, 2 Zr 2.80
As: 0.2500 0.5000 0.5000  4 S 2.61, 2 Zr 2.80

Calculated values
As for the total energy: -4.8130 eV per atom. As for the density of states at the Fermi level: 0.4608 states/eV per atom. The total magnetic moment comes out at 0.00 μB per cell. The value obtained for the uncorrected formation energy is -857.7 meV per atom.

Na3Ce3IrO8 | PBE | relaxed

Lattice parameters (Å, degrees): 6.8820 6.8826 6.8617 120.08 90.00 120.00
With the nearest neighbours (Å) after each atom.
Fractional positions:
O: 0.7400 0.4800 0.7202  3 Ce 2.34, 3 Na 2.53
O: 0.2600 0.5200 0.2798  3 Ce 2.34, 3 Na 2.53
O: 0.2220 0.4440 0.7040  1 Ir 2.16, 2 Ce 2.36
O: 0.2220 0.9818 0.7040  1 Ir 2.16, 2 Ce 2.36
O: 0.2402 0.0183 0.2960  1 Ir 2.16, 2 Ce 2.36
O: 0.7598 0.9817 0.7040  1 Ir 2.16, 2 Ce 2.36
O: 0.7780 0.5560 0.2960  1 Ir 2.16, 2 Ce 2.36
O: 0.7780 0.0182 0.2960  1 Ir 2.16, 2 Ce 2.36
Ce: 0.0000 0.5000 0.5000  6 O 2.34-2.36
Ce: 0.5000 0.0000 0.5000  6 O 2.34-2.36
Ce: 0.5000 0.5000 0.5000  6 O 2.34-2.36
Na: 0.0000 0.0000 0.0000  6 O 2.53
Na: 0.5000 0.5000 0.0000  6 O 2.53
Na: 0.0000 0.5000 0.0000  6 O 2.53
Ir: 0.0000 0.0000 0.5000  6 O 2.16

Calculated values
As for the total energy: -6.9697 eV per atom. As for the density of states at the Fermi level: 0.5735 states/eV per atom. The total magnetic moment comes out at 2.03 μB per cell. The value obtained for the uncorrected formation energy is -2284.0 meV per atom.

YNp2ScP4 | PBE | relaxed

Lattice parameters (Å, degrees): 3.9098 6.7951 6.7910 109.42 90.00 90.00
With the nearest neighbours (Å) after each atom.
Fractional positions:
Np: 0.0000 0.5000 0.5000  6 P 2.75
Np: 0.5000 0.0000 0.5000  6 P 2.81
P: 0.0000 0.2587 0.7546  2 Sc 2.73, 3 Np 2.75-2.81, 1 Y 2.80
P: 0.5000 0.2581 0.2506  1 Sc 2.73, 3 Np 2.75-2.81, 2 Y 2.79
P: 0.5000 0.7419 0.7494  1 Sc 2.73, 3 Np 2.75-2.81, 2 Y 2.79
P: 0.0000 0.7413 0.2454  2 Sc 2.73, 3 Np 2.75-2.81, 1 Y 2.80
Sc: 0.5000 0.5000 0.0000  6 P 2.73
Y: 0.0000 0.0000 0.0000  6 P 2.79-2.80

Calculated values
As for the formation enthalpy at 0 K: -9.4 eV per formula unit. As for the total energy: -8.7131 eV per atom. As for the density of states at the Fermi level: 2.3664 states/eV per atom. The total magnetic moment comes out at 0.14 μB per cell.

YHfMnGa2 | PBE | relaxed

Lattice parameters (Å, degrees): 4.9720 4.4927 4.9720 90.00 90.00 90.00
With the nearest neighbours (Å) after each atom.
Fractional positions:
Y: 0.5000 0.5000 0.5000  8 Ga 3.35, 4 Mn 3.52
Mn: 0.0000 0.5000 0.0000  2 Hf 2.25
Ga: 0.5000 0.0000 0.0000  2 Hf 2.49
Ga: 0.0000 0.0000 0.5000  2 Hf 2.49
Hf: 0.0000 0.0000 0.0000  2 Mn 2.25, 4 Ga 2.49

Calculated values
As for the formation enthalpy at 0 K: 2.8 eV per formula unit. As for the total energy: -5.7738 eV per atom. As for the density of states at the Fermi level: 1.0481 states/eV per atom. The total magnetic moment comes out at 0.01 μB per cell.

RbAlFe3 | PBE | relaxed

Lattice parameters (Å, degrees): 4.8017 4.8017 4.8017 90.00 90.00 90.00
With the nearest neighbours (Å) after each atom.
Fractional positions:
Al: 0.0000 0.0000 0.0000  6 Fe 2.40
Fe: 0.0000 0.0000 0.5000  2 Al 2.40
Fe: 0.5000 0.0000 0.0000  2 Al 2.40
Fe: 0.0000 0.5000 0.0000  2 Al 2.40
Rb: 0.5000 0.5000 0.5000  12 Fe 3.40

Calculated values
As for the energy above the most stable polymorph in this dataset: 0.00 eV/f.u. As for the formation enthalpy at 0 K: 6.2 eV per formula unit. As for the total energy: -4.7865 eV per atom. As for the density of states at the Fermi level: 1.4543 states/eV per atom. The total magnetic moment comes out at 8.42 μB per cell.

Er6AsS5 | PBE | relaxed

Lattice parameters (Å, degrees): 6.7530 6.7530 6.7707 99.52 99.52 120.07
With the nearest neighbours (Å) after each atom.
Fractional positions:
S: 0.6672 0.3328 0.0000  6 Er 2.77
S: 0.1652 0.8348 0.5000  6 Er 2.74-2.75
S: 0.8348 0.1652 0.5000  6 Er 2.74-2.75
S: 0.3328 0.6672 0.0000  6 Er 2.77
S: 0.5000 0.5000 0.5000  6 Er 2.72-2.74
Er: 0.0863 0.4212 0.2552  5 S 2.74-2.77, 1 As 2.79
Er: 0.4212 0.0863 0.2552  5 S 2.74-2.77, 1 As 2.79
Er: 0.5788 0.9137 0.7448  5 S 2.74-2.77, 1 As 2.79
Er: 0.2518 0.2518 0.7457  5 S 2.72-2.77, 1 As 2.79
Er: 0.9137 0.5788 0.7448  5 S 2.74-2.77, 1 As 2.79
Er: 0.7482 0.7482 0.2543  5 S 2.72-2.77, 1 As 2.79
As: 0.0000 0.0000 0.0000  6 Er 2.79

Calculated values
As for the total energy: -6.2799 eV per atom. As for the density of states at the Fermi level: 0.4497 states/eV per atom. The total magnetic moment comes out at 0.00 μB per cell. The value obtained for the uncorrected formation energy is -1891.2 meV per atom.

Ag7Se2Cl3 | PBE | relaxed

Lattice parameters (Å, degrees): 6.3940 6.6441 13.4798 104.27 90.00 90.00
With the nearest neighbours (Å) after each atom.
Fractional positions:
Cl: 0.7390 0.7863 0.0000  2 Ag 2.56
Cl: 0.2390 0.2137 0.0000  2 Ag 2.56
Cl: 0.2650 0.3987 0.4328  4 Ag 2.57-2.78
Cl: 0.7650 0.6013 0.5672  4 Ag 2.57-2.78
Cl: 0.7650 0.0342 0.4328  4 Ag 2.57-2.78
Cl: 0.2650 0.9658 0.5672  4 Ag 2.57-2.78
Ag: 0.1820 0.9744 0.3794  3 Cl 2.60-2.78, 1 Se 2.64
Ag: 0.0697 0.2323 0.7076  1 Cl 2.57, 2 Se 2.71-2.73
Ag: 0.1820 0.5951 0.6206  3 Cl 2.60-2.78, 1 Se 2.64
Ag: 0.5697 0.4754 0.7076  1 Cl 2.57, 2 Se 2.71-2.73
Ag: 0.6820 0.0256 0.6206  3 Cl 2.60-2.78, 1 Se 2.64
Ag: 0.9528 0.8969 0.8118  2 Se 2.58
Ag: 0.0697 0.5246 0.2924  1 Cl 2.57, 2 Se 2.71-2.73
Ag: 0.4144 0.5599 0.0000  2 Cl 2.56, 2 Se 2.86
Ag: 0.9144 0.4401 0.0000  2 Cl 2.56, 2 Se 2.86
Ag: 0.9528 0.0851 0.1882  2 Se 2.58
Ag: 0.5697 0.7677 0.2924  1 Cl 2.57, 2 Se 2.71-2.73
Ag: 0.4528 0.1031 0.1882  2 Se 2.58
Ag: 0.4528 0.9149 0.8118  2 Se 2.58
Ag: 0.6820 0.4049 0.3794  3 Cl 2.60-2.78, 1 Se 2.64
Se: 0.2138 0.6043 0.8169  6 Ag 2.58-2.86
Se: 0.2138 0.7874 0.1831  6 Ag 2.58-2.86
Se: 0.7138 0.3957 0.1831  6 Ag 2.58-2.86
Se: 0.7138 0.2126 0.8169  6 Ag 2.58-2.86

Calculated values
As for the total energy: -2.9531 eV per atom. The total magnetic moment comes out at 0.00 μB per cell. The value obtained for the uncorrected formation energy is -247.5 meV per atom.

Rb2Te3As | PBE | relaxed

Lattice parameters (Å, degrees): 6.5976 8.9699 8.9699 109.59 90.00 90.00
With the nearest neighbours (Å) after each atom.
Fractional positions:
Rb: 0.2615 0.8124 0.5240  7 Te 3.81-3.93, 1 Rb 4.23
Rb: 0.2615 0.5240 0.8124  7 Te 3.81-3.93, 1 Rb 4.23
Rb: 0.7615 0.1876 0.4760  7 Te 3.81-3.93, 1 Rb 4.23
Rb: 0.7615 0.4760 0.1876  7 Te 3.81-3.93, 1 Rb 4.23
As: 0.7613 0.9008 0.9008  5 Te 2.63-2.95
As: 0.2613 0.0992 0.0992  5 Te 2.63-2.95
Te: 0.5108 0.1510 0.8488  2 As 2.94-2.95
Te: 0.5108 0.8488 0.1510  2 As 2.94-2.95
Te: 0.0108 0.1512 0.8490  2 As 2.94-2.95
Te: 0.0108 0.8490 0.1512  2 As 2.94-2.95
Te: 0.2619 0.3539 0.3539  1 As 2.63
Te: 0.7619 0.6461 0.6461  1 As 2.63

Calculated values
As for the energy above the most stable polymorph in this dataset: 0.00 eV/f.u. As for the total energy: -3.2028 eV per atom. As for the density of states at the Fermi level: 0.1894 states/eV per atom. The total magnetic moment comes out at 0.00 μB per cell. The value obtained for the uncorrected formation energy is -534.5 meV per atom.

Hf2SiCl | PBE | relaxed

Lattice parameters (Å, degrees): 5.7096 5.7096 7.2718 66.88 66.88 90.00
With the nearest neighbours (Å) after each atom.
Fractional positions:
Cl: 0.7500 0.2500 0.5000  4 Hf 2.53
Cl: 0.0000 0.0000 0.0000  4 Hf 2.53
Si: 0.5000 0.5000 0.0000  4 Hf 2.52
Si: 0.2500 0.7500 0.5000  4 Hf 2.52
Hf: 0.6236 0.1250 0.2500  2 Si 2.52, 2 Cl 2.53
Hf: 0.8750 0.8736 0.7500  2 Si 2.52, 2 Cl 2.53
Hf: 0.1264 0.6250 0.2500  2 Si 2.52, 2 Cl 2.53
Hf: 0.3750 0.3764 0.7500  2 Si 2.52, 2 Cl 2.53

Calculated values
As for the energy above the most stable polymorph in this dataset: 2.38 eV/f.u. As for the total energy: -6.6162 eV per atom. As for the density of states at the Fermi level: 0.8483 states/eV per atom. The total magnetic moment comes out at 0.00 μB per cell. The value obtained for the uncorrected formation energy is 177.9 meV per atom.

Sr2CdPdO5 | PBE | relaxed

Lattice parameters (Å, degrees): 3.9439 3.9439 8.5675 90.00 90.00 90.00
With the nearest neighbours (Å) after each atom.
Fractional positions:
Cd: 0.0000 0.0000 0.0000  2 O 2.18
Sr: 0.5000 0.5000 0.7171  5 O 2.42-2.71
Sr: 0.5000 0.5000 0.2829  5 O 2.42-2.71
O: 0.0000 0.5000 0.5000  2 Pd 1.97
O: 0.5000 0.0000 0.5000  2 Pd 1.97
O: 0.0000 0.0000 0.7454  1 Pd 2.10, 1 Cd 2.18
O: 0.0000 0.0000 0.2546  1 Pd 2.10, 1 Cd 2.18
O: 0.5000 0.5000 0.0000  2 Sr 2.42
Pd: 0.0000 0.0000 0.5000  6 O 1.97-2.10

Calculated values
As for the total energy: -5.3198 eV per atom. As for the density of states at the Fermi level: 0.5841 states/eV per atom. The total magnetic moment comes out at 0.44 μB per cell. The value obtained for the uncorrected formation energy is -1512.9 meV per atom.

Pr6NdY2Er | PBE | relaxed

Lattice parameters (Å, degrees): 9.6554 9.0360 9.0360 116.39 93.21 93.21
With the nearest neighbours (Å) after each atom.
Fractional positions:
Pr: 0.1872 0.5598 0.0032  2 Pr 3.32-3.70, 1 Er 3.48, 1 Y 3.54, 1 Nd 3.57
Pr: 0.6872 0.0032 0.5598  2 Pr 3.32-3.70, 1 Er 3.48, 1 Y 3.54, 1 Nd 3.57
Pr: 0.3128 0.9968 0.4402  2 Pr 3.32-3.70, 1 Er 3.48, 1 Y 3.54, 1 Nd 3.57
Pr: 0.8846 0.2946 0.5208  4 Pr 3.29-3.66, 3 Y 3.37-3.55, 2 Er 3.50-3.56
Pr: 0.1154 0.7054 0.4792  4 Pr 3.29-3.66, 3 Y 3.37-3.55, 2 Er 3.50-3.56
Pr: 0.8128 0.4402 0.9968  2 Pr 3.32-3.70, 1 Er 3.48, 1 Y 3.54, 1 Nd 3.57
Pr: 0.6154 0.4792 0.7054  4 Pr 3.29-3.66, 3 Y 3.37-3.55, 2 Er 3.50-3.56
Pr: 0.0582 0.1130 0.7632  7 Pr 3.53-3.82, 2 Y 3.58-3.94, 2 Nd 3.72-3.78
Pr: 0.9418 0.8870 0.2368  7 Pr 3.53-3.82, 2 Y 3.58-3.94, 2 Nd 3.72-3.78
Pr: 0.5582 0.7632 0.1130  7 Pr 3.53-3.82, 2 Y 3.58-3.94, 2 Nd 3.72-3.78
Pr: 0.4418 0.2368 0.8870  7 Pr 3.53-3.82, 2 Y 3.58-3.94, 2 Nd 3.72-3.78
Pr: 0.3846 0.5208 0.2946  4 Pr 3.29-3.66, 3 Y 3.37-3.55, 2 Er 3.50-3.56
Y: 0.9487 0.7026 0.7954  5 Pr 3.37-3.58, 2 Nd 3.45-3.57, 1 Er 3.55
Y: 0.5513 0.2046 0.2974  5 Pr 3.37-3.58, 2 Nd 3.45-3.57, 1 Er 3.55
Y: 0.4487 0.7954 0.7026  5 Pr 3.37-3.58, 2 Nd 3.45-3.57, 1 Er 3.55
Y: 0.0513 0.2974 0.2046  5 Pr 3.37-3.58, 2 Nd 3.45-3.57, 1 Er 3.55
Nd: 0.7500 0.0336 0.9664  4 Y 3.45-3.57, 6 Pr 3.57-3.78
Nd: 0.2500 0.9664 0.0336  4 Y 3.45-3.57, 6 Pr 3.57-3.78
Er: 0.2500 0.4118 0.5882  6 Pr 3.48-3.56, 2 Y 3.55
Er: 0.7500 0.5882 0.4118  6 Pr 3.48-3.56, 2 Y 3.55

Calculated values
As for the formation enthalpy at 0 K: 1.1 eV per formula unit. As for the total energy: -4.9795 eV per atom. As for the density of states at the Fermi level: 1.4895 states/eV per atom. The total magnetic moment comes out at 0.00 μB per cell.

CdCoSbRu2 | PBE | relaxed

Lattice parameters (Å, degrees): 4.9619 5.1706 4.9619 90.00 90.00 90.00
With the nearest neighbours (Å) after each atom.
Fractional positions:
Ru: 0.5000 0.0000 0.0000  2 Cd 2.48
Ru: 0.0000 0.0000 0.5000  2 Cd 2.48
Co: 0.5000 0.5000 0.5000  4 Sb 3.51, 8 Ru 3.58
Sb: 0.0000 0.5000 0.0000  2 Cd 2.59
Cd: 0.0000 0.0000 0.0000  4 Ru 2.48, 2 Sb 2.59

Calculated values
As for the total energy: -3.8907 eV per atom. As for the density of states at the Fermi level: 2.3225 states/eV per atom. The total magnetic moment comes out at 6.09 μB per cell. The value obtained for the uncorrected formation energy is 2248.3 meV per atom.